[1]
A relaxed structure of Ca2ErPt3. Source: Alexandria via LeMat-Bulk, functional PBE.

Cell lengths 4.9035, 7.7828, 7.0214 Å; angles 90.00, 90.00, 71.64 degrees
Element x y z (fractional)
Pt 0.1734 0.6531 0.2302
Pt 0.5000 0.0000 0.7581
Pt 0.8266 0.3469 0.2302
Pt 0.1734 0.6531 0.7698
Pt 0.5000 0.0000 0.2419
Pt 0.8266 0.3469 0.7698
Ca 0.0000 0.0000 0.0000
Ca 0.6663 0.6673 0.5000
Ca 0.3337 0.3327 0.5000
Ca 0.0000 0.0000 0.5000
Er 0.6631 0.6738 0.0000
Er 0.3369 0.3262 0.0000

Values from the calculation:
- VASP energy (eV/cell) = -65.909
- magnetization (μB/f.u.) = 0.00


[2]
A relaxed structure of CaEr2Pt3. Source: Alexandria via LeMat-Bulk, functional PBE.

Cell lengths 3.4411, 3.4411, 10.6479 Å; angles 90.00, 90.00, 90.00 degrees
Element x y z (fractional)
Pt 0.0000 0.0000 0.3154
Pt 0.0000 0.0000 0.0000
Pt 0.0000 0.0000 0.6846
Er 0.5000 0.5000 0.8327
Er 0.5000 0.5000 0.1673
Ca 0.5000 0.5000 0.5000

Values from the calculation:
- VASP energy (eV/cell) = -36.315
- magnetization (μB/f.u.) = 0.00


- Among the records above, which one has the highest VASP energy?
  CaEr2Pt3